Entry 1:
A plane-wave DFT calculation with PBE was carried out for a relaxed Sn4As3 crystal.

Calculated values
VASP energy ... -4.38 eV/atom
SG ... No. 166

Cell: 12.3308 12.3308 12.3308 Å, 19.40 19.40 19.40°
Closest atoms and distances in Å follow each position.
Fractional coordinates of all 7 atoms:
Sn  0.1351  0.1351  0.1351  3 As 2.78
Sn  0.2891  0.2891  0.2891  6 As 2.89-3.05
Sn  0.7109  0.7109  0.7109  6 As 2.89-3.05
Sn  0.8649  0.8649  0.8649  3 As 2.78
As  0.0000  0.0000  0.0000  6 Sn 2.89
As  0.4295  0.4295  0.4295  6 Sn 2.78-3.05
As  0.5705  0.5705  0.5705  6 Sn 2.78-3.05

***

Entry 2:
A plane-wave DFT calculation with PBE was carried out for a relaxed SbPtSe2 crystal.

Calculated values
VASP energy ... -4.10 eV/atom
SG ... No. 166

Cell: 4.1843 4.1843 23.2343 Å, 90.00 90.00 120.00°
Closest atoms and distances in Å follow each position.
Fractional coordinates of all 12 atoms:
Sb  0.0000  0.0000  0.0000  6 Se 2.87
Sb  0.3333  0.6667  0.6667  6 Se 2.87
Sb  0.6667  0.3333  0.3333  6 Se 2.87
Pt  0.0000  0.0000  0.5000  2 Se 2.33
Pt  0.3333  0.6667  0.1667  2 Se 2.33
Pt  0.6667  0.3333  0.8333  2 Se 2.33
Se  0.0000  0.0000  0.3997  1 Pt 2.33
Se  0.0000  0.0000  0.6003  1 Pt 2.33
Se  0.3333  0.6667  0.0663  1 Pt 2.33
Se  0.3333  0.6667  0.2670  1 Pt 2.33
Se  0.6667  0.3333  0.7330  1 Pt 2.33
Se  0.6667  0.3333  0.9337  1 Pt 2.33

***

Entry 3:
A plane-wave DFT calculation with PBE was carried out for a relaxed LiCd6Hg5 crystal.

Calculated values
VASP energy ... -0.78 eV/atom
SG ... No. 12

Cell: 5.6654 5.6654 9.8884 Å, 96.94 96.94 115.14°
Closest atoms and distances in Å follow each position.
Fractional coordinates of all 12 atoms:
Li  0.0000  0.0000  0.0000  6 Cd 2.97-3.08, 2 Hg 3.19
Cd  0.0889  0.4104  0.2435  1 Li 2.97, 5 Hg 3.03-3.24, 3 Cd 3.07-3.28
Cd  0.2250  0.2250  0.7505  5 Hg 3.04-3.29, 1 Li 3.08, 4 Cd 3.25-3.28
Cd  0.4104  0.0889  0.2435  1 Li 2.97, 5 Hg 3.03-3.24, 3 Cd 3.07-3.28
Cd  0.5896  0.9111  0.7565  1 Li 2.97, 5 Hg 3.03-3.24, 3 Cd 3.07-3.28
Cd  0.7750  0.7750  0.2495  5 Hg 3.04-3.29, 1 Li 3.08, 4 Cd 3.25-3.28
Cd  0.9111  0.5896  0.7565  1 Li 2.97, 5 Hg 3.03-3.24, 3 Cd 3.07-3.28
Hg  0.1732  0.8268  0.5000  6 Cd 3.04-3.24, 4 Hg 3.12-3.37
Hg  0.3332  0.6668  0.0000  6 Cd 3.03-3.12, 1 Li 3.19, 1 Hg 3.19
Hg  0.5000  0.5000  0.5000  6 Cd 3.06-3.29, 2 Hg 3.12
Hg  0.6668  0.3332  0.0000  6 Cd 3.03-3.12, 1 Li 3.19, 1 Hg 3.19
Hg  0.8268  0.1732  0.5000  6 Cd 3.04-3.24, 4 Hg 3.12-3.37

***

Entry 4:
A plane-wave DFT calculation with PBE was carried out for a relaxed CaEuZn2 crystal.

Calculated values
VASP energy ... -3.96 eV/atom
SG ... No. 225

Cell: 7.4223 7.4223 7.4223 Å, 90.00 90.00 90.00°
Closest atoms and distances in Å follow each position.
Fractional coordinates of all 16 atoms:
Ca  0.0000  0.0000  0.0000  8 Zn 3.21
Ca  0.0000  0.5000  0.5000  8 Zn 3.21
Ca  0.5000  0.0000  0.5000  8 Zn 3.21
Ca  0.5000  0.5000  0.0000  8 Zn 3.21
Eu  0.0000  0.0000  0.5000  8 Zn 3.21
Eu  0.0000  0.5000  0.0000  8 Zn 3.21
Eu  0.5000  0.0000  0.0000  8 Zn 3.21
Eu  0.5000  0.5000  0.5000  8 Zn 3.21
Zn  0.2500  0.2500  0.2500  4 Ca 3.21, 4 Eu 3.21
Zn  0.2500  0.2500  0.7500  4 Ca 3.21, 4 Eu 3.21
Zn  0.2500  0.7500  0.2500  4 Eu 3.21, 4 Ca 3.21
Zn  0.2500  0.7500  0.7500  4 Ca 3.21, 4 Eu 3.21
Zn  0.7500  0.2500  0.2500  4 Eu 3.21, 4 Ca 3.21
Zn  0.7500  0.2500  0.7500  4 Ca 3.21, 4 Eu 3.21
Zn  0.7500  0.7500  0.2500  4 Ca 3.21, 4 Eu 3.21
Zn  0.7500  0.7500  0.7500  4 Eu 3.21, 4 Ca 3.21

***

Entry 5:
A plane-wave DFT calculation with PBE was carried out for a relaxed PmHoSnHg crystal.

Calculated values
VASP energy ... -3.97 eV/atom
SG ... No. 99

Cell: 3.8179 3.8179 7.4154 Å, 90.00 90.00 90.00°
Closest atoms and distances in Å follow each position.
Fractional coordinates of all 4 atoms:
Pm  0.0000  0.0000  0.0000  4 Hg 3.33, 4 Sn 3.33, 1 Ho 3.65
Ho  0.0000  0.0000  0.5074  4 Hg 3.19, 4 Sn 3.25
Sn  0.5000  0.5000  0.2632  4 Ho 3.25, 4 Pm 3.33, 1 Hg 3.52
Hg  0.5000  0.5000  0.7377  4 Ho 3.19, 4 Pm 3.33, 1 Sn 3.52

***

Entry 6:
A plane-wave DFT calculation with PBE was carried out for a relaxed KSrSmSeO6 crystal.

Calculated values
VASP energy ... -6.07 eV/atom
SG ... No. 216

Cell: 5.8067 5.8067 5.8067 Å, 60.00 60.00 60.00°
Closest atoms and distances in Å follow each position.
Fractional coordinates of all 10 atoms:
K  0.0000  0.0000  0.0000  12 O 2.91
Sr  0.5000  0.5000  0.5000  12 O 2.91
Sm  0.2500  0.2500  0.2500  6 O 2.27
Se  0.7500  0.7500  0.7500  6 O 1.83
O  0.5270  0.5270  0.9730  1 Se 1.83
O  0.5270  0.9730  0.5270  1 Se 1.83
O  0.5270  0.9730  0.9730  1 Se 1.83
O  0.9730  0.5270  0.5270  1 Se 1.83
O  0.9730  0.5270  0.9730  1 Se 1.83
O  0.9730  0.9730  0.5270  1 Se 1.83